1.
{
  "formula": "YSnPd",
  "functional": "PBE-GGA",
  "state": "optimized geometry",
  "lattice_angstrom": [[-1.321, -2.375, 2.691], [-1.747, -5.165, -5.416], [12.546, -5.558, 1.255]],
  "species": ["Pd", "Pd", "Pd", "Pd", "Pd", "Pd", "Y", "Y", "Y", "Y", "Y", "Y", "Sn", "Sn", "Sn", "Sn", "Sn", "Sn"],
  "frac_coords": [[0.500, 0.072, 0.406], [0.500, 0.072, 0.094], [0.500, 0.928, 0.906], [0.500, 0.928, 0.594], [0.000, 0.569, 0.250], [0.000, 0.431, 0.750], [0.000, 0.228, 0.551], [0.000, 0.167, 0.250], [0.000, 0.772, 0.051], [0.000, 0.228, 0.949], [0.000, 0.833, 0.750], [0.000, 0.772, 0.449], [0.500, 0.171, 0.750], [0.500, 0.436, 0.381], [0.500, 0.564, 0.619], [0.500, 0.564, 0.881], [0.500, 0.829, 0.250], [0.500, 0.436, 0.119]],
  "delta_e_f_ev_per_atom": -0.868
}

---

2.
{
  "formula": "Ba2LiMgCd6",
  "functional": "PBE-GGA",
  "state": "optimized geometry",
  "lattice_angstrom": [[7.662, -0.016, 0.285], [0.002, 7.276, 0.012], [4.031, 3.636, 5.425]],
  "species": ["Ba", "Ba", "Cd", "Cd", "Cd", "Cd", "Cd", "Cd", "Mg", "Li"],
  "frac_coords": [[0.291, 0.709, 0.582], [0.709, 0.291, 0.418], [0.258, 0.740, 0.093], [0.742, 0.260, 0.907], [0.165, 0.257, 0.482], [0.260, 0.165, 0.092], [0.740, 0.835, 0.908], [0.835, 0.743, 0.518], [0.000, 0.000, 0.000], [0.500, 0.500, 0.000]],
  "delta_e_f_ev_per_atom": -0.208
}

---

3.
{
  "formula": "MgTaP",
  "functional": "PBE-GGA",
  "state": "optimized geometry",
  "lattice_angstrom": [[-1.566, -2.765, -0.988], [1.585, 0.059, 2.925], [-4.905, 1.842, 2.621]],
  "species": ["Mg", "Ta", "P"],
  "frac_coords": [[0.000, 0.000, 0.031], [0.667, 0.333, 0.615], [0.333, 0.667, 0.354]],
  "delta_e_f_ev_per_atom": -0.105,
  "relative_energy_ev_per_fu": 0.47
}

---

4.
{
  "formula": "Zn2Ge2Rh3",
  "functional": "PBE-GGA",
  "state": "optimized geometry",
  "lattice_angstrom": [[-3.214, 0.167, 2.752], [3.309, -2.535, 0.751], [4.186, 5.849, 1.254]],
  "species": ["Rh", "Rh", "Rh", "Zn", "Zn", "Ge", "Ge"],
  "frac_coords": [[0.000, 0.000, 0.000], [0.521, 0.260, 0.782], [0.479, 0.740, 0.218], [0.729, 0.864, 0.596], [0.271, 0.136, 0.404], [0.778, 0.390, 0.166], [0.222, 0.610, 0.834]],
  "delta_e_f_ev_per_atom": -0.416
}

---

5.
{
  "formula": "Fe2Cu2Mo",
  "functional": "PBE-GGA",
  "state": "optimized geometry",
  "lattice_angstrom": [[-5.641, -3.740, 0.413], [1.783, -3.312, -5.642], [1.296, -1.794, 1.462]],
  "species": ["Mo", "Mo", "Fe", "Fe", "Fe", "Fe", "Cu", "Cu", "Cu", "Cu"],
  "frac_coords": [[0.000, 0.000, 0.000], [0.500, 0.500, 0.000], [0.671, 0.829, 0.500], [0.171, 0.671, 0.500], [0.329, 0.171, 0.500], [0.829, 0.329, 0.500], [0.374, 0.874, 0.000], [0.126, 0.374, 0.000], [0.626, 0.126, 0.000], [0.874, 0.626, 0.000]],
  "delta_e_f_ev_per_atom": 0.501,
  "relative_energy_ev_per_fu": 0.77
}

---

6.
{
  "formula": "KSeCl2",
  "functional": "PBE-GGA",
  "state": "optimized geometry",
  "lattice_angstrom": [[-0.691, -1.205, 5.440], [-0.051, -5.480, -1.220], [8.115, -3.646, 3.120]],
  "species": ["Se", "Se", "K", "K", "Cl", "Cl", "Cl", "Cl"],
  "frac_coords": [[0.000, 0.000, 0.000], [0.750, 0.250, 0.500], [0.250, 0.750, 0.500], [0.500, 0.500, 0.000], [0.715, 0.125, 0.250], [0.875, 0.965, 0.750], [0.035, 0.625, 0.250], [0.375, 0.285, 0.750]],
  "formation_energy_uncorrected_ev_per_atom": -0.642,
  "relative_energy_ev_per_fu": 0.83
}

---

7.
{
  "formula": "LiMgHRh2",
  "functional": "PBE-GGA",
  "state": "optimized geometry",
  "lattice_angstrom": [[-3.000, -2.464, -0.081], [2.236, -2.773, 1.545], [-1.086, 1.199, 3.723]],
  "species": ["Mg", "H", "Rh", "Rh", "Li"],
  "frac_coords": [[0.000, 0.000, 0.500], [0.000, 0.000, 0.000], [0.000, 0.500, 0.000], [0.500, 0.000, 0.000], [0.500, 0.500, 0.500]],
  "relative_energy_ev_per_fu": 0.44
}

---

8.
{
  "formula": "HoErZnIn",
  "functional": "PBE-GGA",
  "state": "optimized geometry",
  "lattice_angstrom": [[5.162, 0.000, 0.000], [2.581, 4.470, 0.000], [2.581, 1.490, 4.215]],
  "species": ["Ho", "Er", "Zn", "In"],
  "frac_coords": [[0.250, 0.250, 0.250], [0.750, 0.750, 0.750], [0.500, 0.500, 0.500], [0.000, 0.000, 0.000]],
  "delta_e_f_ev_per_atom": -0.389,
  "relative_energy_ev_per_fu": 0.09
}

---

9.
{
  "formula": "FeHSN2",
  "functional": "PBE-GGA",
  "state": "optimized geometry",
  "lattice_angstrom": [[3.129, 0.000, 0.000], [0.000, 3.129, 0.000], [0.000, 0.000, 5.757]],
  "species": ["N", "N", "S", "H", "Fe"],
  "frac_coords": [[0.500, 0.000, 0.000], [0.000, 0.500, 0.000], [0.000, 0.000, 0.500], [0.000, 0.000, 0.000], [0.500, 0.500, 0.500]],
  "relative_energy_ev_per_fu": 3.10
}

---

10.
{
  "formula": "FeNi2W",
  "functional": "PBE-GGA",
  "state": "optimized geometry",
  "lattice_angstrom": [[-0.442, -3.475, 2.289], [2.199, 0.564, 1.282], [-2.389, 2.327, 3.071]],
  "species": ["Fe", "Ni", "Ni", "W"],
  "frac_coords": [[0.500, 0.625, 0.796], [0.500, 0.125, 0.279], [0.000, 0.125, 0.962], [0.000, 0.625, 0.462]],
  "delta_e_f_ev_per_atom": 0.040,
  "relative_energy_ev_per_fu": 0.23
}

---

11.
{
  "formula": "Mg2As",
  "functional": "PBE-GGA",
  "state": "optimized geometry",
  "lattice_angstrom": [[15.214, 0.001, 0.000], [14.142, 5.608, 0.000], [-14.678, -2.804, 2.854]],
  "species": ["As", "As", "As", "As", "Mg", "Mg", "Mg", "Mg", "Mg", "Mg", "Mg", "Mg"],
  "frac_coords": [[0.181, 0.681, 0.500], [0.931, 0.931, 0.000], [0.069, 0.069, 0.000], [0.319, 0.819, 0.500], [0.751, 0.751, 0.000], [0.583, 0.583, 0.000], [0.249, 0.249, 0.000], [0.499, 0.999, 0.500], [0.833, 0.333, 0.500], [0.417, 0.417, 0.000], [0.001, 0.501, 0.500], [0.667, 0.167, 0.500]],
  "delta_e_f_ev_per_atom": -0.308
}

---

12.
{
  "formula": "TbThCu2",
  "functional": "PBE-GGA",
  "state": "optimized geometry",
  "lattice_angstrom": [[-1.121, -3.604, -0.176], [3.934, -1.152, -1.486], [2.279, 1.065, 5.207]],
  "species": ["Cu", "Cu", "Th", "Tb"],
  "frac_coords": [[0.013, 0.000, 0.566], [0.153, 0.500, 0.846], [0.437, 0.500, 0.415], [0.728, 0.000, 0.991]],
  "delta_e_f_ev_per_atom": -0.167,
  "relative_energy_ev_per_fu": 0.00
}

---

13.
{
  "formula": "CePmAgPt",
  "functional": "PBE-GGA",
  "state": "optimized geometry",
  "lattice_angstrom": [[-4.440, 1.654, -2.025], [-4.092, -3.128, -0.138], [-4.045, 0.913, 3.058]],
  "species": ["Ce", "Pm", "Ag", "Pt"],
  "frac_coords": [[0.500, 0.500, 0.500], [0.000, 0.000, 0.000], [0.250, 0.250, 0.250], [0.750, 0.750, 0.750]],
  "delta_e_f_ev_per_atom": -0.585
}

---

14.
{
  "formula": "SrInRhO6",
  "functional": "PBE-GGA",
  "state": "optimized geometry",
  "lattice_angstrom": [[-3.380, -1.872, 3.902], [2.012, -2.854, 4.238], [0.641, 4.435, 2.682]],
  "species": ["O", "O", "O", "O", "O", "O", "In", "Sr", "Rh"],
  "frac_coords": [[0.611, 0.032, 0.288], [0.032, 0.611, 0.712], [0.357, 0.032, 0.712], [0.611, 0.357, 0.712], [0.357, 0.611, 0.288], [0.032, 0.357, 0.288], [0.667, 0.667, 0.500], [0.000, 0.000, 0.000], [0.333, 0.333, 0.500]],
  "formation_energy_uncorrected_ev_per_atom": -1.153
}

---

15.
{
  "formula": "Li2AcSm2Sb2",
  "functional": "PBE-GGA",
  "state": "optimized geometry",
  "lattice_angstrom": [[4.825, 0.000, 0.000], [2.413, 4.179, 0.000], [2.413, 1.393, 9.524]],
  "species": ["Li", "Li", "Sb", "Sb", "Ac", "Sm", "Sm"],
  "frac_coords": [[0.416, 0.416, 0.753], [0.584, 0.584, 0.247], [0.742, 0.742, 0.774], [0.258, 0.258, 0.226], [0.000, 0.000, 0.000], [0.867, 0.867, 0.398], [0.133, 0.133, 0.602]],
  "formation_energy_uncorrected_ev_per_atom": -0.602
}

---

16.
{
  "formula": "YInBr2",
  "functional": "PBE-GGA",
  "state": "optimized geometry",
  "lattice_angstrom": [[-1.006, -5.327, 2.530], [5.263, 0.981, -2.985], [2.696, 0.767, 2.544]],
  "species": ["Y", "In", "Br", "Br"],
  "frac_coords": [[0.500, 0.500, 0.000], [0.000, 0.500, 0.500], [0.500, 0.000, 0.500], [0.000, 0.000, 0.000]],
  "formation_energy_uncorrected_ev_per_atom": -0.777,
  "relative_energy_ev_per_fu": 1.05
}

---

17.
{
  "formula": "Ca12P6N",
  "functional": "PBE-GGA",
  "state": "optimized geometry",
  "lattice_angstrom": [[8.115, 0.008, 0.010], [-1.222, 8.022, 0.010], [-1.222, -1.424, 7.895]],
  "species": ["Ca", "Ca", "Ca", "Ca", "Ca", "Ca", "Ca", "Ca", "Ca", "Ca", "Ca", "Ca", "P", "P", "P", "P", "P", "P", "N"],
  "frac_coords": [[0.302, 0.062, 0.957], [0.415, 0.818, 0.563], [0.062, 0.957, 0.302], [0.698, 0.938, 0.043], [0.437, 0.585, 0.182], [0.563, 0.415, 0.818], [0.182, 0.437, 0.585], [0.585, 0.182, 0.437], [0.957, 0.302, 0.062], [0.938, 0.043, 0.698], [0.043, 0.698, 0.938], [0.818, 0.563, 0.415], [0.291, 0.130, 0.609], [0.609, 0.291, 0.130], [0.130, 0.609, 0.291], [0.391, 0.709, 0.870], [0.709, 0.870, 0.391], [0.870, 0.391, 0.709], [0.000, 0.000, 0.000]],
  "formation_energy_uncorrected_ev_per_atom": -0.968
}

---

18.
{
  "formula": "Dy2ThTcC4",
  "functional": "PBE-GGA",
  "state": "optimized geometry",
  "lattice_angstrom": [[-2.235, 2.649, 0.576], [-0.926, -4.129, 4.681], [8.435, 5.666, 6.665]],
  "species": ["Dy", "Dy", "Dy", "Dy", "Th", "Th", "C", "C", "C", "C", "C", "C", "C", "C", "Tc", "Tc"],
  "frac_coords": [[0.629, 0.258, 0.459], [0.629, 0.258, 0.041], [0.371, 0.742, 0.541], [0.371, 0.742, 0.959], [0.909, 0.818, 0.250], [0.091, 0.182, 0.750], [0.422, 0.844, 0.750], [0.269, 0.538, 0.132], [0.731, 0.462, 0.868], [0.000, 0.000, 0.500], [0.578, 0.156, 0.250], [0.269, 0.538, 0.368], [0.731, 0.462, 0.632], [0.000, 0.000, 0.000], [0.170, 0.340, 0.250], [0.830, 0.660, 0.750]],
  "delta_e_f_ev_per_atom": -0.098
}

---

19.
{
  "formula": "Ac5Sn4Te",
  "functional": "PBE-GGA",
  "state": "optimized geometry",
  "lattice_angstrom": [[-0.675, 3.429, -1.720], [0.021, -1.744, -3.483], [-22.132, -3.536, 1.640]],
  "species": ["Sn", "Sn", "Sn", "Sn", "Ac", "Ac", "Ac", "Ac", "Ac", "Te"],
  "frac_coords": [[0.000, 0.000, 0.601], [0.000, 0.000, 0.196], [0.000, 0.000, 0.804], [0.000, 0.000, 0.399], [0.500, 0.500, 0.097], [0.500, 0.500, 0.903], [0.500, 0.500, 0.702], [0.500, 0.500, 0.500], [0.500, 0.500, 0.298], [0.000, 0.000, 0.000]],
  "formation_energy_uncorrected_ev_per_atom": -0.765
}

---

20.
{
  "formula": "Sm6Er3Th2",
  "functional": "PBE-GGA",
  "state": "optimized geometry",
  "lattice_angstrom": [[3.583, 0.000, 0.220], [1.785, 3.107, 0.220], [-0.177, -0.103, 32.205]],
  "species": ["Sm", "Sm", "Sm", "Sm", "Sm", "Sm", "Th", "Th", "Er", "Er", "Er"],
  "frac_coords": [[0.909, 0.909, 0.272], [0.817, 0.817, 0.549], [0.091, 0.091, 0.728], [0.183, 0.183, 0.451], [0.363, 0.363, 0.910], [0.637, 0.637, 0.090], [0.454, 0.454, 0.638], [0.546, 0.546, 0.362], [0.727, 0.727, 0.820], [0.000, 0.000, 0.000], [0.273, 0.273, 0.180]],
  "delta_e_f_ev_per_atom": 0.027
}

---

21.
{
  "formula": "YCdIn",
  "functional": "PBE-GGA",
  "state": "optimized geometry",
  "lattice_angstrom": [[-2.776, -1.752, -4.837], [3.077, -0.992, 0.933], [-3.882, -7.321, 4.844]],
  "species": ["Y", "Y", "Cd", "Cd", "In", "In"],
  "frac_coords": [[0.445, 0.614, 0.061], [0.445, 0.608, 0.697], [0.445, 0.113, 0.383], [0.945, 0.605, 0.549], [0.945, 0.611, 0.876], [0.945, 0.618, 0.206]],
  "delta_e_f_ev_per_atom": -0.317
}

---

22.
{
  "formula": "CeThFe10",
  "functional": "PBE-GGA",
  "state": "optimized geometry",
  "lattice_angstrom": [[-2.483, -0.633, -3.124], [0.855, -4.940, 0.321], [-6.702, -0.804, 5.489]],
  "species": ["Fe", "Fe", "Fe", "Fe", "Fe", "Fe", "Fe", "Fe", "Fe", "Fe", "Th", "Ce"],
  "frac_coords": [[0.500, 0.250, 0.249], [0.000, 0.000, 0.670], [0.500, 0.000, 0.500], [0.500, 0.500, 0.000], [0.500, 0.250, 0.751], [0.000, 0.500, 0.163], [0.500, 0.750, 0.249], [0.000, 0.000, 0.330], [0.000, 0.500, 0.837], [0.500, 0.750, 0.751], [0.000, 0.500, 0.500], [0.000, 0.000, 0.000]],
  "delta_e_f_ev_per_atom": -0.034
}

---

23.
{
  "formula": "BeSiAs2Br",
  "functional": "PBE-GGA",
  "state": "optimized geometry",
  "lattice_angstrom": [[-2.338, 3.844, 0.386], [-1.518, -0.499, -4.224], [-3.841, -2.504, 1.676]],
  "species": ["Si", "As", "As", "Br", "Be"],
  "frac_coords": [[0.500, 0.500, 0.500], [0.500, 0.000, 0.000], [0.000, 0.500, 0.000], [0.000, 0.000, 0.500], [0.000, 0.000, 0.000]],
  "formation_energy_uncorrected_ev_per_atom": 0.645,
  "relative_energy_ev_per_fu": 0.00
}

---

24.
{
  "formula": "Pr4AlZnHg2",
  "functional": "PBE-GGA",
  "state": "optimized geometry",
  "lattice_angstrom": [[5.389, 0.000, 0.000], [2.695, 4.667, 0.000], [2.695, 1.556, 8.823]],
  "species": ["Pr", "Pr", "Pr", "Pr", "Zn", "Al", "Hg", "Hg"],
  "frac_coords": [[0.876, 0.876, 0.372], [0.626, 0.626, 0.122], [0.374, 0.374, 0.878], [0.124, 0.124, 0.628], [0.000, 0.000, 0.000], [0.500, 0.500, 0.500], [0.249, 0.249, 0.252], [0.751, 0.751, 0.748]],
  "delta_e_f_ev_per_atom": -0.367
}

---

V values (in Å³/atom) by entry order: 22.50, 29.38, 18.73, 15.23, 12.20, 33.69, 12.24, 24.31, 11.27, 12.36, 20.29, 22.45, 24.18, 15.15, 27.44, 28.23, 27.07, 16.17, 34.09, 32.61, 25.74, 14.72, 19.91, 27.74.